# 1
{
  "formula": "SmTm2ThSc4",
  "functional": "PBE",
  "state": "relaxed",
  "spacegroup": "P4/mmm (123)",
  "formation_energy_kj_per_mol_atoms": 4,
  "total_magnetization_mub_per_cell": 0.0,
  "cell": [[4.951, 0.000, 0.000], [0.000, 4.951, 0.000], [0.000, 0.000, 9.092]],
  "species": ["Sm", "Tm", "Tm", "Th", "Sc", "Sc", "Sc", "Sc"],
  "fractional_positions": [[0.000, 0.000, 0.000], [0.000, 0.000, 0.500], [0.500, 0.500, 0.000], [0.500, 0.500, 0.500], [0.000, 0.500, 0.253], [0.000, 0.500, 0.747], [0.500, 0.000, 0.253], [0.500, 0.000, 0.747]]
}

# 2
{
  "formula": "Sm2Tm5ThSc",
  "functional": "PBE",
  "state": "relaxed",
  "spacegroup": "Cmc2_1 (36)",
  "formation_energy_kj_per_mol_atoms": 17,
  "total_magnetization_mub_per_cell": 0.0,
  "cell": [[2.778, -11.173, 0.000], [2.778, 11.173, 0.000], [0.000, 0.000, 9.121]],
  "species": ["Sm", "Sm", "Sm", "Sm", "Tm", "Tm", "Tm", "Tm", "Tm", "Tm", "Tm", "Tm", "Tm", "Tm", "Th", "Th", "Sc", "Sc"],
  "fractional_positions": [[0.116, 0.884, 0.500], [0.139, 0.861, 0.925], [0.861, 0.139, 0.425], [0.884, 0.116, 0.000], [0.002, 0.998, 0.221], [0.267, 0.733, 0.553], [0.299, 0.701, 0.931], [0.388, 0.612, 0.255], [0.478, 0.522, 0.965], [0.522, 0.478, 0.465], [0.612, 0.388, 0.755], [0.701, 0.299, 0.431], [0.733, 0.267, 0.053], [0.998, 0.002, 0.721], [0.398, 0.602, 0.660], [0.602, 0.398, 0.160], [0.213, 0.787, 0.229], [0.787, 0.213, 0.729]]
}

# 3
{
  "formula": "SmYThSc",
  "functional": "PBE",
  "state": "relaxed",
  "spacegroup": "Amm2 (38)",
  "polymorph_energy_mev_per_atom": 0,
  "formation_energy_kj_per_mol_atoms": 9,
  "total_magnetization_mub_per_cell": 0.0,
  "cell": [[5.355, 0.000, 0.000], [0.000, 1.719, 6.604], [0.000, -1.719, 6.604]],
  "species": ["Sm", "Y", "Th", "Sc"],
  "fractional_positions": [[0.000, 0.000, 0.000], [0.500, 0.133, 0.133], [0.500, 0.379, 0.379], [0.000, 0.745, 0.745]]
}

# 4
{
  "formula": "SmY2ThSc4",
  "functional": "PBE",
  "state": "relaxed",
  "spacegroup": "P4/mmm (123)",
  "formation_energy_kj_per_mol_atoms": 4,
  "total_magnetization_mub_per_cell": 0.0,
  "cell": [[5.001, 0.000, 0.000], [0.000, 5.001, 0.000], [0.000, 0.000, 9.077]],
  "species": ["Sm", "Y", "Y", "Th", "Sc", "Sc", "Sc", "Sc"],
  "fractional_positions": [[0.000, 0.000, 0.000], [0.000, 0.000, 0.500], [0.500, 0.500, 0.000], [0.500, 0.500, 0.500], [0.000, 0.500, 0.253], [0.000, 0.500, 0.747], [0.500, 0.000, 0.253], [0.500, 0.000, 0.747]]
}

# 5
{
  "formula": "SmYThSc",
  "functional": "PBE",
  "state": "relaxed",
  "spacegroup": "F-43m (216)",
  "polymorph_energy_mev_per_atom": 20,
  "formation_energy_kj_per_mol_atoms": 11,
  "total_magnetization_mub_per_cell": 0.0,
  "cell": [[0.000, 3.948, 3.948], [3.948, 0.000, 3.948], [3.948, 3.948, 0.000]],
  "species": ["Sm", "Y", "Th", "Sc"],
  "fractional_positions": [[0.000, 0.000, 0.000], [0.250, 0.250, 0.250], [0.500, 0.500, 0.500], [0.750, 0.750, 0.750]]
}

# 6
{
  "formula": "Sm3Y6Th2Sc",
  "functional": "PBE",
  "state": "relaxed",
  "spacegroup": "C2/m (12)",
  "formation_energy_kj_per_mol_atoms": 3,
  "total_magnetization_mub_per_cell": 0.0,
  "cell": [[3.081, -5.335, 0.000], [3.081, 5.335, 0.000], [-2.059, 0.000, 11.624]],
  "species": ["Sm", "Sm", "Sm", "Y", "Y", "Y", "Y", "Y", "Y", "Th", "Th", "Sc"],
  "fractional_positions": [[0.000, 0.000, 0.000], [0.334, 0.666, 0.000], [0.666, 0.334, 0.000], [0.086, 0.419, 0.256], [0.247, 0.247, 0.745], [0.419, 0.086, 0.256], [0.581, 0.914, 0.744], [0.753, 0.753, 0.255], [0.914, 0.581, 0.744], [0.166, 0.834, 0.500], [0.834, 0.166, 0.500], [0.500, 0.500, 0.500]]
}

# 7
{
  "formula": "SmThZrSc",
  "functional": "PBE",
  "state": "relaxed",
  "spacegroup": "F-43m (216)",
  "formation_energy_kj_per_mol_atoms": 11,
  "total_magnetization_mub_per_cell": 0.0,
  "cell": [[0.000, 3.816, 3.816], [3.816, 0.000, 3.816], [3.816, 3.816, 0.000]],
  "species": ["Sm", "Th", "Zr", "Sc"],
  "fractional_positions": [[0.000, 0.000, 0.000], [0.500, 0.500, 0.500], [0.750, 0.750, 0.750], [0.250, 0.250, 0.250]]
}

# 8
{
  "formula": "Sm2ScTi",
  "functional": "PBE",
  "state": "relaxed",
  "spacegroup": "P4/mmm (123)",
  "polymorph_energy_mev_per_atom": 0,
  "formation_energy_kj_per_mol_atoms": 19,
  "total_magnetization_mub_per_cell": 0.0,
  "cell": [[3.403, 0.000, 0.000], [0.000, 3.403, 0.000], [0.000, 0.000, 9.173]],
  "species": ["Sm", "Sm", "Sc", "Ti"],
  "fractional_positions": [[0.000, 0.000, 0.233], [0.000, 0.000, 0.767], [0.500, 0.500, 0.500], [0.500, 0.500, 0.000]]
}